The following is a DFT calculation (PBE-GGA) of a relaxed structure of SrMgUN3.

Lattice parameters (Å, degrees): 6.5202 3.5587 9.1782 90.00 94.78 90.00
Space group P2_1/m (No. 11)
Inequivalent atoms, fractional coordinates:
Sr (0.1109, 0.2500, 0.2600) [2 per cell]
Mg (0.3653, 0.2500, 0.9167) [2 per cell]
U (0.3930, 0.7500, 0.6425) [2 per cell]
N (0.1987, 0.2500, 0.6948) [2 per cell]
N (0.3858, 0.7500, 0.4054) [2 per cell]
N (0.4768, 0.2500, 0.1414) [2 per cell]

## Properties
* formation energy (no corrections): -1009 meV/atom
* mass density: 6.13 g/cm3


The following is a DFT calculation (PBE-GGA) of a relaxed structure of TlCuH3.

Lattice parameters (Å, degrees): 4.0160 4.0160 4.0160 90.00 90.00 90.00
Space group Pm-3m (No. 221)
Inequivalent atoms, fractional coordinates:
Tl (0.0000, 0.0000, 0.0000) [1 per cell]
Cu (0.5000, 0.5000, 0.5000) [1 per cell]
H (0.0000, 0.0000, 0.5000) [3 per cell]

## Properties
* distance to the lowest polymorph of the same formula: 0.571 eV/atom
* mass density: 6.95 g/cm3


The following is a DFT calculation (PBE-GGA) of a relaxed structure of BiPd5Au.

Lattice parameters (Å, degrees): 3.9874 3.9874 7.9987 90.00 90.00 90.00
Space group P4/mmm (No. 123)
Inequivalent atoms, fractional coordinates:
Bi (0.0000, 0.0000, 0.0000) [1 per cell]
Pd (0.0000, 0.0000, 0.5000) [1 per cell]
Pd (0.0000, 0.5000, 0.2436) [4 per cell]
Au (0.5000, 0.5000, 0.5000) [1 per cell]

## Properties
* distance to the lowest polymorph of the same formula: 0.000 eV/atom
* mass density: 12.25 g/cm3
* formation energy from the elements: -12 kJ per mole of atoms


The following is a DFT calculation (PBE-GGA) of a relaxed structure of AgAsBr2.

Lattice parameters (Å, degrees): 5.1915 5.1915 3.4122 90.00 90.00 90.00
Space group P4/mmm (No. 123)
Inequivalent atoms, fractional coordinates:
Ag (0.0000, 0.0000, 0.0000) [1 per cell]
As (0.5000, 0.5000, 0.0000) [1 per cell]
Br (0.0000, 0.5000, 0.5000) [2 per cell]

## Properties
* formation energy (no corrections): 321 meV/atom
* distance to the lowest polymorph of the same formula: 0.456 eV/atom
* mass density: 6.19 g/cm3